This record from Alexandria via LeMat-Bulk describes Pm2Y5Er4 after structural relaxation. The functional is PBE.

abc: 12.026 12.026 8.716
angles: 83.34 83.34 16.60
Fractional coordinates of all 11 atoms:
Y: 0.233 0.233 0.177
Y: 0.767 0.767 0.823
Y: 0.140 0.140 0.877
Er: 0.954 0.954 0.362
Y: 0.500 0.500 0.000
Er: 0.324 0.324 0.474
Pm: 0.092 0.092 0.258
Y: 0.860 0.860 0.123
Er: 0.676 0.676 0.526
Er: 0.046 0.046 0.638
Pm: 0.908 0.908 0.742

Properties
As for the symmetry: C2/m (12). The energy relative to the lowest polymorph listed for this composition comes out at 0 meV per atom. The value obtained for the formation enthalpy at 0 K is 0.15 eV/atom. As for the total magnetic moment: 0.00 μB/cell.